# 1
First-principles (PBE) data for Tb7YCd4 after structural relaxation, as listed in the Alexandria database.

Computed properties:
- Formation energy from the elements: 0.004 eV per atom

Cell lengths 5.7110, 9.0452, 7.9042 Å; angles 70.32, 68.82, 71.60 degrees
Closest atoms and distances in Å follow each position.
Sites, in units of the cell vectors:
Cd 0.4574 0.7150 0.3703  4 Tb 2.99-3.21, 1 Cd 3.04
Tb 0.2628 0.6924 0.7820  4 Cd 2.99-3.18
Tb 0.9292 0.4123 0.7294  3 Cd 3.13-3.21, 2 Tb 3.34-3.49
Tb 0.7372 0.3076 0.2180  4 Cd 2.99-3.18
Cd 0.6811 0.6585 0.9793  5 Tb 2.97-3.18, 1 Cd 3.04
Tb 0.7935 0.8810 0.5320  4 Cd 3.37-3.71, 5 Tb 3.47-3.56
Cd 0.5426 0.2851 0.6297  4 Tb 2.99-3.21, 1 Cd 3.04
Tb 0.5000 0.0000 0.0000  2 Y 2.86, 4 Cd 2.97-3.17
Cd 0.3189 0.3415 0.0207  5 Tb 2.97-3.18, 1 Cd 3.04
Y 0.0000 0.0000 0.0000  2 Tb 2.86
Tb 0.2065 0.1190 0.4680  4 Cd 3.37-3.71, 5 Tb 3.47-3.56
Tb 0.0708 0.5877 0.2706  3 Cd 3.13-3.21, 2 Tb 3.34-3.49

# 2
First-principles (PBE) data for TbY2Cd8 after structural relaxation, as listed in the Alexandria database.

Computed properties:
- Formation energy from the elements: -0.192 eV per atom

Cell lengths 5.0896, 7.2647, 8.6001 Å; angles 115.00, 107.21, 90.00 degrees
Closest atoms and distances in Å follow each position.
Sites, in units of the cell vectors:
Cd 0.3561 0.1478 0.7122  1 Tb 3.00, 6 Cd 3.03-3.32, 3 Y 3.06-3.16
Cd 0.3560 0.5643 0.7121  1 Tb 3.00, 6 Cd 3.03-3.32, 3 Y 3.06-3.16
Tb 0.5000 0.0000 0.0000  8 Cd 3.00-3.31
Y 0.1967 0.6968 0.3935  10 Cd 3.06-3.34
Cd 0.1566 0.1567 0.3131  8 Cd 3.13-3.32, 2 Y 3.34, 2 Tb 3.43
Cd 0.0000 0.7078 0.0000  7 Cd 3.02-3.31, 2 Y 3.27, 2 Tb 3.31
Cd 0.6440 0.4357 0.2879  1 Tb 3.00, 6 Cd 3.03-3.32, 3 Y 3.06-3.16
Cd 0.8434 0.8433 0.6869  8 Cd 3.13-3.32, 2 Y 3.34, 2 Tb 3.43
Y 0.8033 0.3032 0.6065  10 Cd 3.06-3.34
Cd 0.0000 0.2922 0.0000  7 Cd 3.02-3.31, 2 Y 3.27, 2 Tb 3.31
Cd 0.6439 0.8522 0.2878  1 Tb 3.00, 6 Cd 3.03-3.32, 3 Y 3.06-3.16

# 3
First-principles (PBE) data for Tb4YCd2 after structural relaxation, as listed in the Alexandria database.

Computed properties:
- Formation energy from the elements: 0.215 eV per atom

Cell lengths 5.1328, 5.1328, 10.6367 Å; angles 76.04, 76.04, 60.00 degrees
Closest atoms and distances in Å follow each position.
Sites, in units of the cell vectors:
Cd 0.6002 0.6002 0.1994  1 Y 3.07, 7 Tb 3.10-3.20
Tb 0.1055 0.1055 0.6834  3 Cd 3.20, 3 Y 3.51
Tb 0.8945 0.8945 0.3166  3 Cd 3.20, 3 Y 3.51
Y 0.5000 0.5000 0.5000  2 Cd 3.07
Tb 0.2971 0.2971 0.1086  4 Cd 3.10-3.15
Tb 0.7029 0.7029 0.8914  4 Cd 3.10-3.15
Cd 0.3998 0.3998 0.8006  1 Y 3.07, 7 Tb 3.10-3.20

# 4
First-principles (PBE) data for Tb2Y6Cd after structural relaxation, as listed in the Alexandria database.

Computed properties:
- Formation energy from the elements: 0.031 eV per atom

Cell lengths 3.5423, 10.1522, 9.5664 Å; angles 122.05, 100.64, 90.00 degrees
Closest atoms and distances in Å follow each position.
Sites, in units of the cell vectors:
Y 0.5000 0.2886 0.0000  2 Cd 3.42, 6 Y 3.54-3.59, 4 Tb 3.65
Tb 0.8507 0.3509 0.7017  10 Y 3.47-3.65, 2 Tb 3.54
Y 0.8207 0.9821 0.6419  1 Cd 3.27, 7 Y 3.27-3.59, 3 Tb 3.47-3.63
Y 0.5000 0.7114 0.0000  2 Cd 3.42, 6 Y 3.54-3.59, 4 Tb 3.65
Y 0.1793 0.3403 0.3581  1 Cd 3.27, 7 Y 3.27-3.59, 3 Tb 3.47-3.63
Y 0.8207 0.6597 0.6419  1 Cd 3.27, 7 Y 3.27-3.59, 3 Tb 3.47-3.63
Tb 0.1493 0.6491 0.2983  10 Y 3.47-3.65, 2 Tb 3.54
Cd 0.0000 0.0000 0.0000  8 Y 3.27-3.42, 2 Cd 3.54
Y 0.1793 0.0179 0.3581  1 Cd 3.27, 7 Y 3.27-3.59, 3 Tb 3.47-3.63

# 5
First-principles (PBE) data for Tb6Y2Cd after structural relaxation, as listed in the Alexandria database.

Computed properties:
- Formation energy from the elements: -0.015 eV per atom

Cell lengths 4.9618, 10.5608, 10.5611 Å; angles 90.00, 89.98, 90.00 degrees
Closest atoms and distances in Å follow each position.
Sites, in units of the cell vectors:
Tb 0.0000 0.0022 0.8341  8 Tb 3.51-3.54, 1 Cd 3.53, 3 Y 3.53-3.56
Tb 0.5001 0.1659 0.0022  8 Tb 3.50-3.54, 1 Cd 3.53, 3 Y 3.53-3.56
Tb 0.9999 0.6659 0.4978  8 Tb 3.50-3.54, 1 Cd 3.53, 3 Y 3.53-3.56
Tb 0.5000 0.5022 0.6659  8 Tb 3.51-3.54, 1 Cd 3.53, 3 Y 3.53-3.56
Y 0.4998 0.8393 0.6607  2 Cd 3.45, 10 Tb 3.46-3.58
Cd 0.5000 0.5000 0.0000  4 Y 3.45, 8 Tb 3.51-3.53
Tb 0.5002 0.1668 0.6667  4 Y 3.46-3.58, 6 Tb 3.51-3.54, 2 Cd 3.51-3.52
Tb 0.4999 0.8341 0.9978  8 Tb 3.50-3.54, 1 Cd 3.53, 3 Y 3.53-3.56
Tb 0.0001 0.3341 0.5022  8 Tb 3.50-3.54, 1 Cd 3.53, 3 Y 3.53-3.56
Y 0.0002 0.3393 0.8393  2 Cd 3.45, 10 Tb 3.46-3.58
Tb 0.9998 0.6668 0.8333  4 Y 3.46-3.58, 6 Tb 3.51-3.54, 2 Cd 3.51-3.52
Tb 0.4998 0.8332 0.3333  4 Y 3.46-3.58, 6 Tb 3.51-3.54, 2 Cd 3.51-3.52
Tb 0.5000 0.4978 0.3341  8 Tb 3.51-3.54, 1 Cd 3.53, 3 Y 3.53-3.56
Y 0.5002 0.1607 0.3393  2 Cd 3.45, 10 Tb 3.46-3.58
Cd 0.0000 0.0000 0.5000  4 Y 3.45, 8 Tb 3.51-3.53
Tb 0.0000 0.9978 0.1659  8 Tb 3.51-3.54, 1 Cd 3.53, 3 Y 3.53-3.56
Tb 0.0002 0.3332 0.1667  4 Y 3.46-3.58, 6 Tb 3.51-3.54, 2 Cd 3.51-3.52
Y 0.9998 0.6607 0.1607  2 Cd 3.45, 10 Tb 3.46-3.58

# 6
First-principles (PBE) data for Tb3Y6Cd after structural relaxation, as listed in the Alexandria database.

Computed properties:
- Formation energy from the elements: -0.019 eV per atom

Cell lengths 5.0523, 10.9494, 11.2755 Å; angles 92.27, 90.00, 90.00 degrees
Closest atoms and distances in Å follow each position.
Sites, in units of the cell vectors:
Y 0.2500 0.0458 0.8939  1 Cd 3.31, 7 Y 3.45-3.65, 4 Tb 3.49-3.51
Y 0.2500 0.2307 0.4915  3 Cd 3.35-3.49, 5 Y 3.50-3.61, 4 Tb 3.55-3.71
Y 0.2500 0.4502 0.1010  5 Y 3.41-3.60, 7 Tb 3.51-3.64
Cd 0.7500 0.0575 0.3863  10 Y 3.31-3.57
Y 0.7500 0.5498 0.8990  5 Y 3.41-3.60, 7 Tb 3.51-3.64
Tb 0.7500 0.2469 0.9891  10 Y 3.49-3.66, 2 Tb 3.56
Y 0.2500 0.8686 0.3201  3 Cd 3.33-3.38, 5 Y 3.50-3.64, 4 Tb 3.61-3.66
Y 0.7500 0.3470 0.2976  1 Cd 3.36, 6 Y 3.49-3.61, 5 Tb 3.52-3.61
Tb 0.7500 0.6563 0.2088  8 Y 3.50-3.64, 4 Tb 3.55-3.56
Y 0.7500 0.1314 0.6799  3 Cd 3.33-3.38, 5 Y 3.50-3.64, 4 Tb 3.61-3.66
Tb 0.2500 0.7531 0.0109  10 Y 3.49-3.66, 2 Tb 3.56
Y 0.2500 0.6530 0.7024  1 Cd 3.36, 6 Y 3.49-3.61, 5 Tb 3.52-3.61
Y 0.7500 0.9542 0.1061  1 Cd 3.31, 7 Y 3.45-3.65, 4 Tb 3.49-3.51
Tb 0.7500 0.4471 0.5982  8 Y 3.52-3.71, 4 Tb 3.55-3.58
Tb 0.2500 0.5529 0.4018  8 Y 3.52-3.71, 4 Tb 3.55-3.58
Y 0.7500 0.7693 0.5085  3 Cd 3.35-3.49, 5 Y 3.50-3.61, 4 Tb 3.55-3.71
Y 0.7500 0.8452 0.8130  8 Y 3.41-3.53, 2 Tb 3.54, 2 Cd 3.57
Y 0.2500 0.1548 0.1870  8 Y 3.41-3.53, 2 Tb 3.54, 2 Cd 3.57
Cd 0.2500 0.9425 0.6137  10 Y 3.31-3.57
Tb 0.2500 0.3437 0.7912  8 Y 3.50-3.64, 4 Tb 3.55-3.56

# 7
First-principles (PBE) data for Tb5Y3Cd2 after structural relaxation, as listed in the Alexandria database.

Computed properties:
- Formation energy from the elements: 0.160 eV per atom

Cell lengths 6.6467, 10.3653, 10.3653 Å; angles 88.71, 71.30, 71.30 degrees
Closest atoms and distances in Å follow each position.
Sites, in units of the cell vectors:
Cd 0.1317 0.7340 0.0027  3 Tb 2.84-3.08, 2 Y 3.10
Y 0.7500 0.0000 0.0000  4 Cd 3.10, 2 Y 3.32, 2 Tb 3.45
Y 0.2500 0.0000 0.0000  4 Cd 3.10, 2 Y 3.32, 2 Tb 3.45
Cd 0.8683 0.2660 0.9973  3 Tb 2.84-3.08, 2 Y 3.10
Tb 0.0994 0.5728 0.2285  1 Cd 2.84
Tb 0.4006 0.7715 0.4272  1 Cd 2.84
Y 0.1391 0.0812 0.6407  6 Tb 3.52-3.94, 4 Cd 3.55-3.80
Tb 0.9006 0.4272 0.7715  1 Cd 2.84
Y 0.6391 0.6407 0.0812  6 Tb 3.52-3.94, 4 Cd 3.55-3.80
Y 0.8609 0.9188 0.3593  6 Tb 3.52-3.94, 4 Cd 3.55-3.80
Y 0.3609 0.3593 0.9188  6 Tb 3.52-3.94, 4 Cd 3.55-3.80
Tb 0.0103 0.7397 0.7397  2 Cd 3.08, 3 Tb 3.18-3.32
Tb 0.5994 0.2285 0.5728  1 Cd 2.84
Tb 0.9897 0.2603 0.2603  2 Cd 3.08, 3 Tb 3.18-3.32
Tb 0.2500 0.5000 0.5000  8 Tb 3.18-3.32
Cd 0.3683 0.9973 0.2660  3 Tb 2.84-3.08, 2 Y 3.10
Tb 0.5103 0.7397 0.7397  2 Cd 3.08, 3 Tb 3.18-3.32
Tb 0.4897 0.2603 0.2603  2 Cd 3.08, 3 Tb 3.18-3.32
Tb 0.7500 0.5000 0.5000  8 Tb 3.18-3.32
Cd 0.6317 0.0027 0.7340  3 Tb 2.84-3.08, 2 Y 3.10

# 8
First-principles (PBE) data for Tb2YCd8 after structural relaxation, as listed in the Alexandria database.

Computed properties:
- Formation energy from the elements: -0.191 eV per atom

Cell lengths 5.0997, 7.2183, 8.6227 Å; angles 114.69, 107.17, 89.99 degrees
Closest atoms and distances in Å follow each position.
Sites, in units of the cell vectors:
Y 0.5000 0.0000 0.0000  8 Cd 3.00-3.31
Cd 0.0000 0.7086 0.0000  7 Cd 3.01-3.34, 2 Tb 3.25, 2 Y 3.31
Tb 0.1942 0.6941 0.3889  10 Cd 3.06-3.37
Cd 0.3548 0.5656 0.7092  1 Y 3.00, 6 Cd 3.05-3.34, 3 Tb 3.06-3.16
Cd 0.6452 0.4344 0.2908  1 Y 3.00, 6 Cd 3.05-3.34, 3 Tb 3.06-3.16
Cd 0.0000 0.2914 0.0000  7 Cd 3.01-3.34, 2 Tb 3.25, 2 Y 3.31
Cd 0.6456 0.8573 0.2918  1 Y 3.00, 6 Cd 3.05-3.34, 3 Tb 3.06-3.16
Tb 0.8058 0.3059 0.6111  10 Cd 3.06-3.37
Cd 0.8427 0.8427 0.6854  8 Cd 3.14-3.30, 2 Tb 3.36-3.37, 2 Y 3.45-3.46
Cd 0.1573 0.1573 0.3146  8 Cd 3.14-3.30, 2 Tb 3.36-3.37, 2 Y 3.45-3.46
Cd 0.3544 0.1427 0.7082  1 Y 3.00, 6 Cd 3.05-3.34, 3 Tb 3.06-3.16